The following is a GGA-PBE calculation of Al5Ga after structural relaxation, from Alexandria via LeMat-Bulk.

* volume: 16.71 A^3/atom
* energy of formation: 0.008 eV per atom

Structure (POSCAR):
```
Al5Ga
1.0
4.125 0.000 0.000
0.000 4.072 0.000
0.000 -2.036 5.971
Al Ga
5 1
Direct
0.000 0.668 0.335
0.000 0.332 0.665
0.500 0.500 0.000
0.500 0.168 0.336
0.500 0.832 0.664
0.000 0.000 0.000
```

The following is a GGA-PBE calculation of ZnNi2SnPb after structural relaxation, from Alexandria via LeMat-Bulk.

* volume: 23.88 A^3/atom
* energy of formation: 0.882 eV per atom

Structure (POSCAR):
```
ZnNi2SnPb
1.0
-1.629 3.941 2.331
-3.200 -2.886 2.643
3.391 -0.624 3.425
Pb Ni Zn Sn
1 2 1 1
Direct
0.000 0.000 0.000
0.000 0.000 0.500
0.500 0.000 0.000
0.000 0.500 0.000
0.500 0.500 0.500
```

The following is a GGA-PBE calculation of Na2LiMg2In5 after structural relaxation, from Alexandria via LeMat-Bulk.

* volume: 25.71 A^3/atom
* energy of formation: -0.079 eV per atom

Structure (POSCAR):
```
Na2LiMg2In5
1.0
3.348 0.000 0.000
0.000 12.393 0.000
0.000 0.000 12.393
Na Li Mg In
4 2 4 10
Direct
0.000 0.670 0.170
0.000 0.330 0.830
0.000 0.170 0.330
0.000 0.830 0.670
0.000 0.000 0.000
0.000 0.500 0.500
0.000 0.140 0.640
0.000 0.860 0.360
0.000 0.640 0.860
0.000 0.360 0.140
0.500 0.177 0.058
0.500 0.823 0.942
0.500 0.058 0.823
0.500 0.677 0.442
0.500 0.942 0.177
0.500 0.323 0.558
0.500 0.558 0.677
0.500 0.442 0.323
0.500 0.500 0.000
0.500 0.000 0.500
```

The lowest energy of formation belongs to which entry? Na2LiMg2In5

The highest volume belongs to which entry? Na2LiMg2In5

Which value of energy of formation does entry 2 give? 0.882 eV per atom

Look up the energy of formation of the third one. -0.079 eV per atom